VASP calculation (PBE with a Hubbard U) on crystalline SrCo2P2O8 at its relaxed geometry.

Output
ρ ... 4.55 g/cm3
Space-group type ... R-3 (148)
ΔE to the lowest computed polymorph ... 229 meV/atom

abc: 7.783 7.783 7.783
angles: 35.80 35.80 35.80
Sites, in units of the cell vectors:
Sr: 0.000 0.000 0.000
Co: 0.172 0.172 0.172
Co: 0.828 0.828 0.828
P: 0.419 0.419 0.419
P: 0.581 0.581 0.581
O: 0.142 0.760 0.427
O: 0.240 0.573 0.858
O: 0.350 0.350 0.350
O: 0.427 0.142 0.760
O: 0.573 0.858 0.240
O: 0.650 0.650 0.650
O: 0.760 0.427 0.142
O: 0.858 0.240 0.573